Model 1:
# Rb2BaVF6

An optimized crystal structure of Rb2BaVF6 (PBE with a Hubbard U, Alexandria).

Unit cell a=6.518 b=6.545 c=11.213 alpha=90.00 beta=124.68 gamma=90.00
Fractional positions:
Rb  0.237  0.034  0.247
Rb  0.237  0.466  0.747
Rb  0.763  0.534  0.253
Rb  0.763  0.966  0.753
Ba  0.500  0.000  0.000
Ba  0.500  0.500  0.500
V  0.000  0.000  0.500
V  0.000  0.500  0.000
F  0.146  0.237  0.957
F  0.146  0.263  0.457
F  0.219  0.693  0.959
F  0.219  0.807  0.459
F  0.302  0.022  0.725
F  0.302  0.478  0.225
F  0.698  0.522  0.775
F  0.698  0.978  0.275
F  0.781  0.193  0.541
F  0.781  0.307  0.041
F  0.854  0.737  0.543
F  0.854  0.763  0.043

Output
Crystal system: monoclinic
SG: P2_1/c

Model 2:
# Rb2BaVF6

An optimized crystal structure of Rb2BaVF6 (PBE with a Hubbard U, Alexandria).

Unit cell a=6.595 b=6.595 c=6.595 alpha=60.00 beta=60.00 gamma=60.00
Fractional positions:
Rb  0.250  0.250  0.250
Rb  0.750  0.750  0.750
Ba  0.000  0.000  0.000
V  0.500  0.500  0.500
F  0.273  0.273  0.727
F  0.273  0.727  0.273
F  0.273  0.727  0.727
F  0.727  0.273  0.273
F  0.727  0.273  0.727
F  0.727  0.727  0.273

Output
Crystal system: cubic
SG: Fm-3m

Comparing the structures above, model 1 comes out on top by 1.3 kJ/mol of atoms.